{"formula": "GeIrW2F", "functional": "PBE+U", "state": "relaxed", "lattice_angstrom": [[4.099, 0.000, 0.000], [0.000, 4.764, 0.000], [0.000, 0.000, 4.099]], "species": ["W", "F", "Ge", "Ir", "W"], "fractional_positions": [[0.000, 0.000, 0.500], [0.000, 0.000, 0.000], [0.500, 0.500, 0.500], [0.000, 0.500, 0.000], [0.500, 0.000, 0.000]], "crystal_system": "tetragonal", "final_energy_ev_per_atom": -4.700, "relative_energy_mev_per_atom": 532}